Entry 1:
VASP calculation (PBE-GGA) on a relaxed Ta3SnPb crystal.

Cell: 5.127 5.127 5.127 Å, 90.00 90.00 90.00°
Positions (direct):
Ta  0.000  0.000  0.500
Ta  0.000  0.500  0.000
Ta  0.500  0.000  0.000
Sn  0.500  0.500  0.500
Pb  0.000  0.000  0.000

Summary:
For the volume, the calculation gives 26.958 Å³/atom. The space group is Pm-3m. Its total magnetization is 0.00 μB per cell. The calculation puts the theoretical density at 10.7 g/cm3.

=====

Entry 2:
VASP calculation (PBE-GGA) on a relaxed TaSn2Pb2 crystal.

Cell: 4.111 4.111 16.928 Å, 90.00 90.00 90.00°
Positions (direct):
Ta  0.000  0.000  0.000
Ta  0.500  0.500  0.500
Sn  0.000  0.000  0.415
Sn  0.000  0.000  0.585
Sn  0.500  0.500  0.085
Sn  0.500  0.500  0.915
Pb  0.000  0.500  0.250
Pb  0.000  0.500  0.750
Pb  0.500  0.000  0.250
Pb  0.500  0.000  0.750

Summary:
For the volume, the calculation gives 28.613 Å³/atom. The space group is I4/mmm. Its total magnetization is 2.47 μB per cell. The calculation puts the theoretical density at 9.7 g/cm3.

=====

Entry 3:
VASP calculation (PBE-GGA) on a relaxed TaSn2Pb crystal.

Cell: 3.233 3.233 33.636 Å, 90.00 90.00 120.00°
Positions (direct):
Ta  0.000  0.000  0.000
Ta  0.333  0.667  0.667
Ta  0.667  0.333  0.333
Sn  0.000  0.000  0.404
Sn  0.000  0.000  0.596
Sn  0.333  0.667  0.070
Sn  0.333  0.667  0.263
Sn  0.667  0.333  0.737
Sn  0.667  0.333  0.930
Pb  0.000  0.000  0.500
Pb  0.333  0.667  0.167
Pb  0.667  0.333  0.833

Summary:
For the volume, the calculation gives 25.365 Å³/atom. The space group is R-3m. Its total magnetization is 0.00 μB per cell. The calculation puts the theoretical density at 10.2 g/cm3.

=====

Entry 4:
VASP calculation (PBE-GGA) on a relaxed TaSn2Pb2 crystal.

Cell: 7.500 7.500 4.881 Å, 90.00 90.00 90.00°
Positions (direct):
Ta  0.000  0.000  0.000
Ta  0.500  0.500  0.000
Sn  0.147  0.353  0.000
Sn  0.353  0.853  0.000
Sn  0.647  0.147  0.000
Sn  0.853  0.647  0.000
Pb  0.167  0.667  0.500
Pb  0.333  0.167  0.500
Pb  0.667  0.833  0.500
Pb  0.833  0.333  0.500

Summary:
For the volume, the calculation gives 27.458 Å³/atom. The space group is P4/mbm. Its total magnetization is 1.69 μB per cell. The calculation puts the theoretical density at 10.1 g/cm3.

=====

Entry 5:
VASP calculation (PBE-GGA) on a relaxed TaSn3Pb crystal.

Cell: 5.418 5.418 5.418 Å, 90.00 90.00 90.00°
Positions (direct):
Ta  0.000  0.000  0.000
Sn  0.000  0.000  0.500
Sn  0.000  0.500  0.000
Sn  0.500  0.000  0.000
Pb  0.500  0.500  0.500

Summary:
For the volume, the calculation gives 31.815 Å³/atom. The space group is Pm-3m. Its total magnetization is 0.00 μB per cell. The calculation puts the theoretical density at 7.8 g/cm3.

=====

Entry 6:
VASP calculation (PBE-GGA) on a relaxed TaSnPb2 crystal.

Cell: 6.599 6.599 13.669 Å, 90.00 90.00 90.00°
Positions (direct):
Ta  0.000  0.000  0.000
Ta  0.000  0.500  0.250
Ta  0.500  0.000  0.750
Ta  0.500  0.500  0.500
Sn  0.000  0.000  0.500
Sn  0.000  0.500  0.750
Sn  0.500  0.000  0.250
Sn  0.500  0.500  0.000
Pb  0.216  0.250  0.125
Pb  0.250  0.716  0.375
Pb  0.250  0.784  0.875
Pb  0.284  0.250  0.625
Pb  0.716  0.750  0.625
Pb  0.750  0.216  0.875
Pb  0.750  0.284  0.375
Pb  0.784  0.750  0.125

Summary:
For the volume, the calculation gives 37.203 Å³/atom. The space group is I-42d. Its total magnetization is 0.00 μB per cell. The calculation puts the theoretical density at 8.0 g/cm3.

=====

Entry 7:
VASP calculation (PBE-GGA) on a relaxed TaSn2Pb crystal.

Cell: 6.494 6.494 13.834 Å, 90.00 90.00 90.00°
Positions (direct):
Ta  0.000  0.000  0.000
Ta  0.000  0.500  0.250
Ta  0.500  0.000  0.750
Ta  0.500  0.500  0.500
Sn  0.206  0.250  0.125
Sn  0.250  0.706  0.375
Sn  0.250  0.794  0.875
Sn  0.294  0.250  0.625
Sn  0.706  0.750  0.625
Sn  0.750  0.206  0.875
Sn  0.750  0.294  0.375
Sn  0.794  0.750  0.125
Pb  0.000  0.000  0.500
Pb  0.000  0.500  0.750
Pb  0.500  0.000  0.250
Pb  0.500  0.500  0.000

Summary:
For the volume, the calculation gives 36.465 Å³/atom. The space group is I-42d. Its total magnetization is 0.00 μB per cell. The calculation puts the theoretical density at 7.1 g/cm3.

=====

Entry 8:
VASP calculation (PBE-GGA) on a relaxed Ta3SnPb crystal.

Cell: 5.071 5.071 5.071 Å, 90.00 90.00 90.00°
Positions (direct):
Ta  0.000  0.000  0.500
Ta  0.000  0.500  0.000
Ta  0.500  0.000  0.000
Sn  0.000  0.000  0.000
Pb  0.500  0.500  0.500

Summary:
For the volume, the calculation gives 26.084 Å³/atom. The space group is Pm-3m. Its total magnetization is 0.00 μB per cell. The calculation puts the theoretical density at 11.1 g/cm3.

=====

Entry 9:
VASP calculation (PBE-GGA) on a relaxed TaSn2PbW crystal.

Cell: 5.443 5.443 5.123 Å, 90.00 90.00 90.00°
Positions (direct):
Ta  0.000  0.000  0.000
Sn  0.000  0.500  0.500
Sn  0.500  0.000  0.500
Pb  0.500  0.500  0.500
W  0.500  0.500  0.000

Summary:
For the volume, the calculation gives 30.353 Å³/atom. The space group is P4/mmm. Its total magnetization is 1.53 μB per cell. The calculation puts the theoretical density at 8.9 g/cm3.

=====

Entry 10:
VASP calculation (PBE-GGA) on a relaxed TbSn2Pb2 crystal.

Cell: 13.880 13.880 4.569 Å, 90.00 90.00 161.05°
Positions (direct):
Tb  0.161  0.839  0.750
Tb  0.839  0.161  0.250
Sn  0.250  0.750  0.250
Sn  0.353  0.647  0.750
Sn  0.647  0.353  0.250
Sn  0.750  0.250  0.750
Pb  0.058  0.942  0.250
Pb  0.442  0.558  0.250
Pb  0.558  0.442  0.750
Pb  0.942  0.058  0.750

Summary:
For the volume, the calculation gives 28.587 Å³/atom. The space group is Cmcm. Its total magnetization is 0.00 μB per cell. The calculation puts the theoretical density at 9.4 g/cm3.

=====

Entry 11:
VASP calculation (PBE-GGA) on a relaxed Tb3Sn3Pb crystal.

Cell: 9.009 9.009 5.475 Å, 90.00 90.00 120.00°
Positions (direct):
Tb  0.091  0.439  0.250
Tb  0.348  0.909  0.250
Tb  0.439  0.348  0.750
Tb  0.561  0.652  0.250
Tb  0.652  0.091  0.750
Tb  0.909  0.561  0.750
Sn  0.046  0.234  0.750
Sn  0.188  0.954  0.750
Sn  0.234  0.188  0.250
Sn  0.766  0.812  0.750
Sn  0.812  0.046  0.250
Sn  0.954  0.766  0.250
Pb  0.333  0.667  0.750
Pb  0.667  0.333  0.250

Summary:
For the volume, the calculation gives 27.486 Å³/atom. The space group is P6_3/m. Its total magnetization is 0.00 μB per cell. The calculation puts the theoretical density at 9.0 g/cm3.

=====

Entry 12:
VASP calculation (PBE-GGA) on a relaxed Tb3Sn2Pb crystal.

Cell: 9.002 9.002 6.330 Å, 100.12 100.12 41.36°
Positions (direct):
Tb  0.118  0.882  0.750
Tb  0.210  0.450  0.402
Tb  0.450  0.210  0.902
Tb  0.550  0.790  0.098
Tb  0.790  0.550  0.598
Tb  0.882  0.118  0.250
Sn  0.053  0.275  0.072
Sn  0.275  0.053  0.572
Sn  0.725  0.947  0.428
Sn  0.947  0.725  0.928
Pb  0.383  0.617  0.250
Pb  0.617  0.383  0.750

Summary:
For the volume, the calculation gives 27.742 Å³/atom. The space group is C2/c. Its total magnetization is 0.00 μB per cell. The calculation puts the theoretical density at 9.2 g/cm3.

=====

Going through the records in order, we get formation energy values of 2190; 786; 158; 493; 420; 1044; 841; 1851; 2473; -308; -419; -601 meV/atom.